TaReSe3 | PBE | relaxed

```
TaReSe3
1.0
5.0423 0.0000 0.0000
0.0000 5.0423 0.0000
0.0000 0.0000 5.0423
Se Ta Re
3 1 1
Cartesian
2.5211 0.0000 0.0000
0.0000 0.0000 2.5211
0.0000 2.5211 0.0000
0.0000 0.0000 0.0000
2.5211 2.5211 2.5211
```

Output
The value obtained for the offset from the most stable computed form is 0.000 eV per atom. Its density of states at the Fermi level is 3.0 states/eV per cell. For the raw formation energy, the calculation gives 949 meV per atom.

***

Ta2ReSe | PBE | relaxed

```
Ta2ReSe
1.0
-2.6763 0.7699 -1.7102
0.6573 -2.4060 -2.1117
-3.4869 -4.1158 3.6039
Se Re Ta
1 1 2
Cartesian
-3.7178 -4.0147 0.8882
-1.6580 -1.9570 1.7136
-3.4092 -4.0240 3.5236
-1.9514 -1.9298 -0.9375
```

Output
Its density of states at the Fermi level is 3.5 states/eV per cell. For the raw formation energy, the calculation gives 63 meV per atom.